No. 1
{"formula": "BaGe2PtPb", "functional": "GGA-PBE", "state": "relaxed", "lattice_angstrom": [[-2.4042, 2.4042, 5.4247], [2.4042, -2.4042, 5.4247], [2.4042, 2.4042, -5.4247]], "species": ["Ba", "Ge", "Ge", "Pt", "Pb"], "fractional_positions": [[0.0000, 0.0000, 0.0000], [0.2583, 0.7583, 0.5000], [0.7583, 0.2583, 0.5000], [0.3410, 0.3410, 0.0000], [0.6017, 0.6017, 0.0000]], "dft_energy_ry_per_atom": -0.34673, "rho_g_cm3": 9.07, "sg": "I4mm"}

No. 2
{"formula": "PaNb2", "functional": "GGA-PBE", "state": "relaxed", "lattice_angstrom": [[0.0000, 5.7140, 5.7140], [5.7140, 0.0000, 5.7140], [5.7140, 5.7140, 0.0000]], "species": ["Pa", "Pa", "Nb", "Nb", "Nb", "Nb"], "fractional_positions": [[0.1250, 0.1250, 0.1250], [0.8750, 0.8750, 0.8750], [0.0000, 0.0000, 0.0000], [0.0000, 0.0000, 0.5000], [0.0000, 0.5000, 0.0000], [0.5000, 0.0000, 0.0000]], "dft_energy_ry_per_atom": -0.48198, "ef_ev_per_atom": 3.3370, "rho_g_cm3": 3.71, "sg": "Fd-3m"}

No. 3
{"formula": "InNiHgPd", "functional": "GGA-PBE", "state": "relaxed", "lattice_angstrom": [[0.0000, 3.2381, 3.2381], [3.2381, 0.0000, 3.2381], [3.2381, 3.2381, 0.0000]], "species": ["In", "Ni", "Hg", "Pd"], "fractional_positions": [[0.0000, 0.0000, 0.0000], [0.2500, 0.2500, 0.2500], [0.5000, 0.5000, 0.5000], [0.7500, 0.7500, 0.7500]], "dft_energy_ry_per_atom": -0.26235, "rho_g_cm3": 11.75, "sg": "F-43m"}

No. 4
{"formula": "YBeGaNi", "functional": "GGA-PBE", "state": "relaxed", "lattice_angstrom": [[0.0000, 3.1561, 3.1561], [3.1561, 0.0000, 3.1561], [3.1561, 3.1561, 0.0000]], "species": ["Y", "Be", "Ga", "Ni"], "fractional_positions": [[0.0000, 0.0000, 0.0000], [0.5000, 0.5000, 0.5000], [0.2500, 0.2500, 0.2500], [0.7500, 0.7500, 0.7500]], "dft_energy_ry_per_atom": -0.35437, "rho_g_cm3": 5.98, "sg": "F-43m"}

No. 5
{"formula": "NdTmSn2Pt4", "functional": "GGA-PBE", "state": "relaxed", "lattice_angstrom": [[4.5804, 0.0000, 0.0000], [-2.2902, 3.9667, 0.0000], [0.0000, 0.0000, 9.2005]], "species": ["Nd", "Tm", "Sn", "Sn", "Pt", "Pt", "Pt", "Pt"], "fractional_positions": [[0.0000, 0.0000, 0.0000], [0.6667, 0.3333, 0.5000], [0.3333, 0.6667, 0.2548], [0.3333, 0.6667, 0.7452], [0.0000, 0.0000, 0.3456], [0.0000, 0.0000, 0.6544], [0.6667, 0.3333, 0.1685], [0.6667, 0.3333, 0.8315]], "dft_energy_ry_per_atom": -0.45278, "rho_g_cm3": 13.22, "sg": "P-6m2"}

No. 6
{"formula": "GdNbPO", "functional": "GGA-PBE", "state": "relaxed", "lattice_angstrom": [[3.9550, 0.0000, 0.0000], [0.0000, 3.9550, 0.0000], [0.0000, 0.0000, 8.8241]], "species": ["Gd", "Gd", "Nb", "Nb", "P", "P", "O", "O"], "fractional_positions": [[0.2500, 0.2500, 0.1271], [0.7500, 0.7500, 0.8729], [0.2500, 0.7500, 0.5000], [0.7500, 0.2500, 0.5000], [0.2500, 0.2500, 0.6873], [0.7500, 0.7500, 0.3127], [0.2500, 0.7500, 0.0000], [0.7500, 0.2500, 0.0000]], "dft_energy_ry_per_atom": -0.60658, "rho_g_cm3": 7.15, "sg": "P4/nmm"}

No. 7
{"formula": "InFeOsAu", "functional": "GGA-PBE", "state": "relaxed", "lattice_angstrom": [[0.0000, 3.1950, 3.1950], [3.1950, 0.0000, 3.1950], [3.1950, 3.1950, 0.0000]], "species": ["In", "Fe", "Os", "Au"], "fractional_positions": [[0.0000, 0.0000, 0.0000], [0.2500, 0.2500, 0.2500], [0.7500, 0.7500, 0.7500], [0.5000, 0.5000, 0.5000]], "dft_energy_ry_per_atom": -0.43165, "rho_g_cm3": 14.20, "sg": "F-43m"}

No. 8
{"formula": "Er4B7", "functional": "GGA-PBE", "state": "relaxed", "lattice_angstrom": [[3.7084, 0.0000, 0.0000], [0.0598, 3.7308, 0.0000], [0.4938, 1.4195, 11.5567]], "species": ["Er", "Er", "Er", "Er", "B", "B", "B", "B", "B", "B", "B"], "fractional_positions": [[0.0261, 0.0591, 0.3459], [0.4589, 0.3787, 0.8631], [0.5411, 0.6213, 0.1369], [0.9739, 0.9409, 0.6541], [0.0000, 0.0000, 0.0000], [0.0476, 0.1171, 0.1243], [0.2531, 0.4999, 0.5005], [0.4818, 0.4520, 0.6273], [0.5182, 0.5480, 0.3727], [0.7469, 0.5001, 0.4995], [0.9524, 0.8829, 0.8757]], "dft_energy_ry_per_atom": -0.45132, "rho_g_cm3": 7.73, "sg": "P-1"}

No. 9
{"formula": "BaPaCu", "functional": "GGA-PBE", "state": "relaxed", "lattice_angstrom": [[0.0000, 3.5714, 3.5714], [3.5714, 0.0000, 3.5714], [3.5714, 3.5714, 0.0000]], "species": ["Ba", "Pa", "Cu"], "fractional_positions": [[0.0000, 0.0000, 0.0000], [0.5000, 0.5000, 0.5000], [0.2500, 0.2500, 0.2500]], "dft_energy_ry_per_atom": -0.30330, "rho_g_cm3": 7.87, "sg": "F-43m"}

No. 10
{"formula": "BeCuTc", "functional": "GGA-PBE", "state": "relaxed", "lattice_angstrom": [[0.0000, 2.7921, 2.7921], [2.7921, 0.0000, 2.7921], [2.7921, 2.7921, 0.0000]], "species": ["Be", "Cu", "Tc"], "fractional_positions": [[0.0000, 0.0000, 0.0000], [0.5000, 0.5000, 0.5000], [0.2500, 0.2500, 0.2500]], "dft_energy_ry_per_atom": -0.36802, "rho_g_cm3": 6.51, "sg": "F-43m"}

No. 11
{"formula": "ErBi3", "functional": "GGA-PBE", "state": "relaxed", "lattice_angstrom": [[10.5071, 0.0000, 0.0000], [0.0000, 4.4541, 0.0000], [0.0000, 0.0000, 11.0970]], "species": ["Er", "Er", "Er", "Er", "Bi", "Bi", "Bi", "Bi", "Bi", "Bi", "Bi", "Bi", "Bi", "Bi", "Bi", "Bi"], "fractional_positions": [[0.1269, 0.2500, 0.0741], [0.3731, 0.7500, 0.5741], [0.6269, 0.2500, 0.4259], [0.8731, 0.7500, 0.9259], [0.0316, 0.2500, 0.7942], [0.0778, 0.7500, 0.5692], [0.2469, 0.7500, 0.8820], [0.2531, 0.2500, 0.3820], [0.4222, 0.2500, 0.0692], [0.4684, 0.7500, 0.2942], [0.5316, 0.2500, 0.7058], [0.5778, 0.7500, 0.9308], [0.7469, 0.7500, 0.6180], [0.7531, 0.2500, 0.1180], [0.9222, 0.2500, 0.4308], [0.9684, 0.7500, 0.2058]], "dft_energy_ry_per_atom": -0.32078, "rho_g_cm3": 10.16, "sg": "Pnma"}

No. 12
{"formula": "TcBiPO", "functional": "GGA-PBE", "state": "relaxed", "lattice_angstrom": [[4.0060, 0.0000, 0.0000], [0.0000, 4.0060, 0.0000], [0.0000, 0.0000, 8.6027]], "species": ["Tc", "Tc", "Bi", "Bi", "P", "P", "O", "O"], "fractional_positions": [[0.2500, 0.7500, 0.0000], [0.7500, 0.2500, 0.0000], [0.2500, 0.2500, 0.3560], [0.7500, 0.7500, 0.6440], [0.2500, 0.2500, 0.8523], [0.7500, 0.7500, 0.1477], [0.2500, 0.7500, 0.5000], [0.7500, 0.2500, 0.5000]], "dft_energy_ry_per_atom": -0.49694, "rho_g_cm3": 8.51, "sg": "P4/nmm"}